Record 1
This record from Alexandria describes an optimized crystal structure of KNa2LiP. The functional is PBE.

Geometry as CIF:
```
data_KNa2LiP
_cell_length_a 5.6831
_cell_length_b 5.6831
_cell_length_c 4.8951
_cell_angle_alpha 90.00
_cell_angle_beta 90.00
_cell_angle_gamma 90.00
_space_group_name_H-M_alt 'P 1'
_space_group_IT_number 1
loop_
_space_group_symop_operation_xyz
'x,y,z'
loop_
_atom_site_label
_atom_site_type_symbol
_atom_site_fract_x
_atom_site_fract_y
_atom_site_fract_z
_atom_site_occupancy
K1 K 0.0000 0.0000 0.0000 1
Na1 Na 0.0000 0.5000 0.5000 1
Na2 Na 0.5000 0.0000 0.5000 1
Li1 Li 0.5000 0.5000 0.0000 1
P1 P 0.5000 0.5000 0.5000 1
```

Computed properties:
D(E_F): 2.33 states/eV/f.u.
Total moment: 0.0 μB per cell
Energy of formation from the pure elements: -204 meV/atom

Record 2
This record from Alexandria describes an optimized crystal structure of KNa2LiPb. The functional is PBE.

Geometry as CIF:
```
data_KNa2LiPb
_cell_length_a 6.0317
_cell_length_b 6.0317
_cell_length_c 5.4991
_cell_angle_alpha 90.00
_cell_angle_beta 90.00
_cell_angle_gamma 90.00
_space_group_name_H-M_alt 'P 1'
_space_group_IT_number 1
loop_
_space_group_symop_operation_xyz
'x,y,z'
loop_
_atom_site_label
_atom_site_type_symbol
_atom_site_fract_x
_atom_site_fract_y
_atom_site_fract_z
_atom_site_occupancy
K1 K 0.0000 0.0000 0.0000 1
Na1 Na 0.0000 0.5000 0.5000 1
Na2 Na 0.5000 0.0000 0.5000 1
Li1 Li 0.5000 0.5000 0.0000 1
Pb1 Pb 0.5000 0.5000 0.5000 1
```

Computed properties:
D(E_F): 1.26 states/eV/f.u.
ΔE to the lowest computed polymorph: 0.00 kJ per mole of atoms
Total moment: 0.0 μB per cell
Energy of formation from the pure elements: -66 meV/atom

Record 3
This record from Alexandria describes an optimized crystal structure of KNa2LiPb. The functional is PBE.

Geometry as CIF:
```
data_KNa2LiPb
_cell_length_a 5.7532
_cell_length_b 5.7532
_cell_length_c 5.2460
_cell_angle_alpha 90.00
_cell_angle_beta 90.00
_cell_angle_gamma 90.00
_space_group_name_H-M_alt 'P 1'
_space_group_IT_number 1
loop_
_space_group_symop_operation_xyz
'x,y,z'
loop_
_atom_site_label
_atom_site_type_symbol
_atom_site_fract_x
_atom_site_fract_y
_atom_site_fract_z
_atom_site_occupancy
K1 K 0.0000 0.0000 0.0000 1
Na1 Na 0.0000 0.5000 0.5000 1
Na2 Na 0.5000 0.0000 0.5000 1
Li1 Li 0.5000 0.5000 0.5000 1
Pb1 Pb 0.5000 0.5000 0.0000 1
```

Computed properties:
D(E_F): 1.71 states/eV/f.u.
ΔE to the lowest computed polymorph: 3.83 kJ per mole of atoms
Total moment: 0.0 μB per cell
Energy of formation from the pure elements: -26 meV/atom

Record 4
This record from Alexandria describes an optimized crystal structure of KNaLi2Pd. The functional is PBE.

Geometry as CIF:
```
data_KNaLi2Pd
_cell_length_a 5.4971
_cell_length_b 5.4971
_cell_length_c 5.4130
_cell_angle_alpha 90.00
_cell_angle_beta 90.00
_cell_angle_gamma 90.00
_space_group_name_H-M_alt 'P 1'
_space_group_IT_number 1
loop_
_space_group_symop_operation_xyz
'x,y,z'
loop_
_atom_site_label
_atom_site_type_symbol
_atom_site_fract_x
_atom_site_fract_y
_atom_site_fract_z
_atom_site_occupancy
K1 K 0.0000 0.0000 0.0000 1
Na1 Na 0.5000 0.5000 0.5000 1
Li1 Li 0.0000 0.5000 0.0000 1
Li2 Li 0.5000 0.0000 0.0000 1
Pd1 Pd 0.0000 0.0000 0.5000 1
```

Computed properties:
D(E_F): 1.53 states/eV/f.u.
ΔE to the lowest computed polymorph: 60.96 kJ per mole of atoms
Total moment: 0.0 μB per cell
Energy of formation from the pure elements: 601 meV/atom